First-principles (PBE-GGA) data for a relaxed structure of Sm8Ge4Te3, as listed in Alexandria.

Properties
As for the space group: C2/m (12). The calculation puts the magnetic moment at 1.25 Bohr magnetons per cell. Its formation energy (no corrections) is -1.010 eV/atom. Its total energy is -80.8 eV for the cell shown.

```
data_Sm8Ge4Te3
_chemical_formula_sum 'Sm8 Ge4 Te3'
_cell_length_a 8.667
_cell_length_b 8.667
_cell_length_c 8.648
_cell_angle_alpha 119.89
_cell_angle_beta 119.89
_cell_angle_gamma 90.14
_symmetry_space_group_name_H-M 'P 1'
_symmetry_Int_Tables_number 1
loop_
_symmetry_equiv_pos_as_xyz
'x,y,z'
loop_
_atom_site_label
_atom_site_type_symbol
_atom_site_fract_x
_atom_site_fract_y
_atom_site_fract_z
Sm1 Sm 0.225 0.225 0.472
Sm2 Sm 0.235 0.235 0.985
Sm3 Sm 0.238 0.762 0.000
Sm4 Sm 0.241 0.759 0.500
Sm5 Sm 0.759 0.241 0.500
Sm6 Sm 0.762 0.238 0.000
Sm7 Sm 0.765 0.765 0.015
Sm8 Sm 0.775 0.775 0.528
Ge1 Ge 0.000 0.000 0.000
Ge2 Ge 0.000 0.000 0.500
Ge3 Ge 0.000 0.500 0.000
Ge4 Ge 0.500 0.000 0.000
Te1 Te 0.000 0.500 0.500
Te2 Te 0.500 0.000 0.500
Te3 Te 0.500 0.500 0.500
```